--- i ---
Pm6Sm2Y3 | GGA-PBE | relaxed

Calculated values
The calculation puts the total magnetic moment at 0.0 μB per formula unit. As for the density of states at the Fermi level: 14.9 states/eV/cell.

abc: 3.6257 6.2724 17.0090
angles: 90.16 90.01 106.73
Closest atoms and distances in Å follow each position.
Element x y z (fractional)
Pm: 0.0454 0.0902 0.1821  5 Pm 3.61-3.63, 3 Sm 3.62-3.63, 4 Y 3.63
Pm: 0.1371 0.2733 0.5457  5 Y 3.61-3.62, 2 Sm 3.62, 5 Pm 3.63
Pm: 0.2275 0.4544 0.9088  7 Pm 3.61-3.63, 2 Sm 3.62, 3 Y 3.62-3.63
Pm: 0.7725 0.5456 0.0912  7 Pm 3.61-3.63, 2 Sm 3.62, 3 Y 3.62-3.63
Pm: 0.8629 0.7267 0.4543  5 Y 3.61-3.62, 2 Sm 3.62, 5 Pm 3.63
Pm: 0.9546 0.9098 0.8179  5 Pm 3.61-3.63, 3 Sm 3.62-3.63, 4 Y 3.63
Sm: 0.3180 0.6354 0.2730  7 Pm 3.62-3.63, 3 Y 3.62-3.63, 2 Sm 3.63
Sm: 0.6820 0.3646 0.7270  7 Pm 3.62-3.63, 3 Y 3.62-3.63, 2 Sm 3.63
Y: 0.4091 0.8188 0.6358  7 Pm 3.61-3.63, 3 Sm 3.62-3.63, 2 Y 3.63
Y: 0.5000 0.0000 0.0000  10 Pm 3.62-3.63, 2 Y 3.63
Y: 0.5909 0.1812 0.3642  7 Pm 3.61-3.63, 3 Sm 3.62-3.63, 2 Y 3.63

=====

--- ii ---
Pm6Sm2Y3 | GGA-PBE | relaxed

Calculated values
The calculation puts the total magnetic moment at 0.0 μB per formula unit. As for the density of states at the Fermi level: 14.8 states/eV/cell.

abc: 17.1933 17.1933 17.1933
angles: 163.90 163.90 22.85
Closest atoms and distances in Å follow each position.
Element x y z (fractional)
Pm: 0.1202 0.6202 0.5000  6 Pm 3.41-3.49, 2 Sm 3.49, 2 Y 3.66
Pm: 0.1951 0.1951 0.0000  5 Y 3.41-3.48, 4 Pm 3.49
Pm: 0.3798 0.8798 0.5000  6 Pm 3.41-3.49, 2 Sm 3.49, 2 Y 3.66
Pm: 0.6202 0.1202 0.5000  6 Pm 3.41-3.49, 2 Sm 3.49, 2 Y 3.66
Pm: 0.8049 0.8049 0.0000  5 Y 3.41-3.48, 4 Pm 3.49
Pm: 0.8798 0.3798 0.5000  6 Pm 3.41-3.49, 2 Sm 3.49, 2 Y 3.66
Sm: 0.0453 0.0453 0.0000  1 Sm 3.06
Sm: 0.9547 0.9547 0.0000  1 Sm 3.06
Y: 0.2982 0.2982 0.0000  9 Pm 3.41-3.66
Y: 0.5000 0.5000 0.0000  8 Sm 3.73
Y: 0.7018 0.7018 0.0000  9 Pm 3.41-3.66

=====

Which structure is most stable? i, by 0.262 eV/atom over the runner-up.

=====

--- i ---
Pm3Sm3Y | GGA-PBE | relaxed

Calculated values
The calculation puts the total magnetic moment at 0.0 μB per formula unit. As for the density of states at the Fermi level: 24.7 states/eV/cell.

abc: 9.7369 9.7369 5.8311
angles: 90.00 90.00 120.00
Closest atoms and distances in Å follow each position.
Element x y z (fractional)
Pm: 0.0455 0.8064 0.2500  5 Sm 3.60-3.70, 6 Pm 3.62-3.71, 1 Y 3.68
Pm: 0.1936 0.2391 0.2500  5 Sm 3.60-3.70, 6 Pm 3.62-3.71, 1 Y 3.68
Pm: 0.2391 0.0455 0.7500  5 Sm 3.60-3.70, 6 Pm 3.62-3.71, 1 Y 3.68
Pm: 0.7609 0.9545 0.2500  5 Sm 3.60-3.70, 6 Pm 3.62-3.71, 1 Y 3.68
Pm: 0.8064 0.7609 0.7500  5 Sm 3.60-3.70, 6 Pm 3.62-3.71, 1 Y 3.68
Pm: 0.9545 0.1936 0.7500  5 Sm 3.60-3.70, 6 Pm 3.62-3.71, 1 Y 3.68
Sm: 0.0947 0.6187 0.7500  5 Pm 3.60-3.70, 4 Sm 3.60-3.69, 3 Y 3.61-3.68
Sm: 0.3813 0.4760 0.7500  5 Pm 3.60-3.70, 4 Sm 3.60-3.69, 3 Y 3.61-3.68
Sm: 0.4760 0.0947 0.2500  5 Pm 3.60-3.70, 4 Sm 3.60-3.69, 3 Y 3.61-3.68
Sm: 0.5240 0.9053 0.7500  5 Pm 3.60-3.70, 4 Sm 3.60-3.69, 3 Y 3.61-3.68
Sm: 0.6187 0.5240 0.2500  5 Pm 3.60-3.70, 4 Sm 3.60-3.69, 3 Y 3.61-3.68
Sm: 0.9053 0.3813 0.2500  5 Pm 3.60-3.70, 4 Sm 3.60-3.69, 3 Y 3.61-3.68
Y: 0.3333 0.6667 0.2500  9 Sm 3.61-3.68, 3 Pm 3.68
Y: 0.6667 0.3333 0.7500  9 Sm 3.61-3.68, 3 Pm 3.68

=====

--- ii ---
Pm3Sm3Y | GGA-PBE | relaxed

Calculated values
The calculation puts the total magnetic moment at 0.0 μB per formula unit. As for the density of states at the Fermi level: 20.6 states/eV/cell.

abc: 11.4114 3.6005 11.8640
angles: 90.00 90.01 90.00
Closest atoms and distances in Å follow each position.
Element x y z (fractional)
Pm: 0.0036 0.2500 0.3673  5 Sm 3.43-3.76, 6 Pm 3.59-3.63
Pm: 0.0499 0.2500 0.8897  1 Sm 3.34, 6 Pm 3.37-3.60
Pm: 0.4501 0.2500 0.8892  1 Sm 3.32, 4 Pm 3.38-3.60, 2 Y 3.60
Pm: 0.5499 0.7500 0.1108  1 Sm 3.32, 4 Pm 3.38-3.60, 2 Y 3.60
Pm: 0.9501 0.7500 0.1103  1 Sm 3.34, 6 Pm 3.37-3.60
Pm: 0.9964 0.7500 0.6327  5 Sm 3.43-3.76, 6 Pm 3.59-3.63
Sm: 0.2505 0.7500 0.4307  3 Y 3.42-3.74, 3 Pm 3.43-3.76, 6 Sm 3.52-3.81
Sm: 0.2509 0.2500 0.1477  4 Sm 3.60-3.81, 7 Pm 3.82-3.90, 1 Y 3.84
Sm: 0.2511 0.2500 0.6856  4 Pm 3.32-3.48, 2 Y 3.45, 4 Sm 3.52-3.60
Sm: 0.7489 0.7500 0.3144  4 Pm 3.32-3.48, 2 Y 3.45, 4 Sm 3.52-3.60
Sm: 0.7491 0.7500 0.8523  4 Sm 3.60-3.81, 7 Pm 3.82-3.90, 1 Y 3.84
Sm: 0.7495 0.2500 0.5693  3 Y 3.42-3.74, 3 Pm 3.43-3.76, 6 Sm 3.52-3.81
Y: 0.4969 0.2500 0.3689  5 Sm 3.42-3.74, 4 Y 3.59-3.60, 2 Pm 3.60
Y: 0.5031 0.7500 0.6311  5 Sm 3.42-3.74, 4 Y 3.59-3.60, 2 Pm 3.60

=====

Which structure is most stable? i, by 0.123 eV/atom over the runner-up.

=====

--- i ---
Pm2Sm7Y | GGA-PBE | relaxed

Calculated values
The calculation puts the total magnetic moment at 0.0 μB per formula unit. As for the density of states at the Fermi level: 15.4 states/eV/cell.

abc: 6.2821 6.2877 9.5989
angles: 102.54 109.08 99.61
Closest atoms and distances in Å follow each position.
Element x y z (fractional)
Pm: 0.1997 0.4994 0.3997  9 Sm 3.63-3.64, 1 Y 3.63, 2 Pm 3.63
Pm: 0.8003 0.5006 0.6003  9 Sm 3.63-3.64, 1 Y 3.63, 2 Pm 3.63
Sm: 0.0000 0.0000 0.5000  4 Pm 3.63, 8 Sm 3.63-3.64
Sm: 0.1999 0.0002 0.9003  9 Sm 3.62-3.63, 2 Y 3.63, 1 Pm 3.63
Sm: 0.4004 0.9996 0.2993  8 Sm 3.62-3.64, 1 Y 3.63, 3 Pm 3.63-3.64
Sm: 0.4006 0.5005 0.8011  7 Sm 3.61-3.64, 2 Y 3.62, 3 Pm 3.63-3.64
Sm: 0.5994 0.4995 0.1989  7 Sm 3.61-3.64, 2 Y 3.62, 3 Pm 3.63-3.64
Sm: 0.5996 0.0004 0.7007  8 Sm 3.62-3.64, 1 Y 3.63, 3 Pm 3.63-3.64
Sm: 0.8001 0.9998 0.0997  9 Sm 3.62-3.63, 2 Y 3.63, 1 Pm 3.63
Y: 0.0000 0.5000 0.0000  10 Sm 3.62-3.63, 2 Pm 3.63

=====

--- ii ---
Pm2Sm7Y | GGA-PBE | relaxed

Calculated values
The calculation puts the total magnetic moment at 0.0 μB per formula unit. As for the density of states at the Fermi level: 16.2 states/eV/cell.

abc: 15.0084 15.0084 3.5091
angles: 90.00 90.00 154.31
Closest atoms and distances in Å follow each position.
Element x y z (fractional)
Pm: 0.2054 0.7946 0.0000  2 Pm 3.51, 8 Sm 3.56-3.80
Pm: 0.7946 0.2054 0.0000  2 Pm 3.51, 8 Sm 3.56-3.80
Sm: 0.0000 0.0000 0.0000  6 Sm 3.35-3.51
Sm: 0.1562 0.3532 0.0000  7 Sm 3.27-3.55, 1 Pm 3.56
Sm: 0.3122 0.6878 0.5000  6 Sm 3.51-3.55, 6 Pm 3.58-3.80
Sm: 0.3532 0.1562 0.0000  7 Sm 3.27-3.55, 1 Pm 3.56
Sm: 0.6468 0.8438 0.0000  7 Sm 3.27-3.55, 1 Pm 3.56
Sm: 0.6878 0.3122 0.5000  6 Sm 3.51-3.55, 6 Pm 3.58-3.80
Sm: 0.8438 0.6468 0.0000  7 Sm 3.27-3.55, 1 Pm 3.56
Y: 0.5000 0.5000 0.5000  2 Y 3.51, 12 Sm 3.75-3.77

=====

Which structure is most stable? i, by 0.138 eV/atom over the runner-up.

=====

--- i ---
Pm6SmY12 | GGA-PBE | relaxed

Calculated values
The calculation puts the total magnetic moment at 0.0 μB per formula unit. As for the density of states at the Fermi level: 31.7 states/eV/cell.

abc: 8.7153 8.7153 8.7153
angles: 79.81 79.81 79.81
Closest atoms and distances in Å follow each position.
Element x y z (fractional)
Pm: 0.2712 0.2712 0.6641  1 Sm 3.06, 3 Y 3.35-3.42
Pm: 0.2712 0.6641 0.2712  1 Sm 3.06, 3 Y 3.35-3.42
Pm: 0.3359 0.7288 0.7288  1 Sm 3.06, 3 Y 3.35-3.42
Pm: 0.6641 0.2712 0.2712  1 Sm 3.06, 3 Y 3.35-3.42
Pm: 0.7288 0.3359 0.7288  1 Sm 3.06, 3 Y 3.35-3.42
Pm: 0.7288 0.7288 0.3359  1 Sm 3.06, 3 Y 3.35-3.42
Sm: 0.5000 0.5000 0.5000  6 Pm 3.06
Y: 0.0166 0.0166 0.6965  3 Pm 3.35-3.42, 5 Y 3.51-3.58
Y: 0.0172 0.3633 0.3633  7 Y 3.51-3.87, 5 Pm 3.57-3.69
Y: 0.0166 0.6965 0.0166  3 Pm 3.35-3.42, 5 Y 3.51-3.58
Y: 0.3035 0.9834 0.9834  3 Pm 3.35-3.42, 5 Y 3.51-3.58
Y: 0.3633 0.0172 0.3633  7 Y 3.51-3.87, 5 Pm 3.57-3.69
Y: 0.3633 0.3633 0.0172  7 Y 3.51-3.87, 5 Pm 3.57-3.69
Y: 0.6367 0.6367 0.9828  7 Y 3.51-3.87, 5 Pm 3.57-3.69
Y: 0.6367 0.9828 0.6367  7 Y 3.51-3.87, 5 Pm 3.57-3.69
Y: 0.6965 0.0166 0.0166  3 Pm 3.35-3.42, 5 Y 3.51-3.58
Y: 0.9834 0.3035 0.9834  3 Pm 3.35-3.42, 5 Y 3.51-3.58
Y: 0.9828 0.6367 0.6367  7 Y 3.51-3.87, 5 Pm 3.57-3.69
Y: 0.9834 0.9834 0.3035  3 Pm 3.35-3.42, 5 Y 3.51-3.58

=====

--- ii ---
Pm6SmY12 | GGA-PBE | relaxed

Calculated values
The calculation puts the total magnetic moment at 0.0 μB per formula unit. As for the density of states at the Fermi level: 26.7 states/eV/cell.

abc: 9.5169 9.5169 9.5169
angles: 110.91 110.91 110.91
Closest atoms and distances in Å follow each position.
Element x y z (fractional)
Pm: 0.0527 0.5784 0.3687  3 Pm 3.59-3.61, 9 Y 3.59-3.61
Pm: 0.3687 0.0527 0.5784  3 Pm 3.59-3.61, 9 Y 3.59-3.61
Pm: 0.4216 0.6313 0.9473  3 Pm 3.59-3.61, 9 Y 3.59-3.61
Pm: 0.5784 0.3687 0.0527  3 Pm 3.59-3.61, 9 Y 3.59-3.61
Pm: 0.6313 0.9473 0.4216  3 Pm 3.59-3.61, 9 Y 3.59-3.61
Pm: 0.9473 0.4216 0.6313  3 Pm 3.59-3.61, 9 Y 3.59-3.61
Sm: 0.0000 0.0000 0.0000  12 Y 3.59-3.60
Y: 0.1057 0.1579 0.7378  6 Y 3.59-3.61, 1 Sm 3.59, 5 Pm 3.59-3.61
Y: 0.1579 0.7378 0.1057  1 Sm 3.59, 6 Y 3.59-3.61, 5 Pm 3.59-3.61
Y: 0.2106 0.3157 0.4733  4 Pm 3.59-3.60, 7 Y 3.59-3.61, 1 Sm 3.60
Y: 0.2622 0.8943 0.8421  1 Sm 3.59, 6 Y 3.59-3.61, 5 Pm 3.59-3.61
Y: 0.3157 0.4733 0.2106  4 Pm 3.59-3.60, 7 Y 3.59-3.61, 1 Sm 3.60
Y: 0.4733 0.2106 0.3157  4 Pm 3.59-3.60, 7 Y 3.59-3.61, 1 Sm 3.60
Y: 0.5267 0.7894 0.6843  4 Pm 3.59-3.60, 7 Y 3.59-3.61, 1 Sm 3.60
Y: 0.6843 0.5267 0.7894  4 Pm 3.59-3.60, 7 Y 3.59-3.61, 1 Sm 3.60
Y: 0.7378 0.1057 0.1579  1 Sm 3.59, 6 Y 3.59-3.61, 5 Pm 3.59-3.61
Y: 0.7894 0.6843 0.5267  4 Pm 3.59-3.60, 7 Y 3.59-3.61, 1 Sm 3.60
Y: 0.8421 0.2622 0.8943  1 Sm 3.59, 6 Y 3.59-3.61, 5 Pm 3.59-3.61
Y: 0.8943 0.8421 0.2622  1 Sm 3.59, 6 Y 3.59-3.61, 5 Pm 3.59-3.61

=====

Which structure is most stable? ii, by 0.093 eV/atom over the runner-up.

=====

--- i ---
Pm4Sm3Y | GGA-PBE | relaxed

Calculated values
The calculation puts the total magnetic moment at 0.0 μB per formula unit. As for the density of states at the Fermi level: 28.5 states/eV/cell.

abc: 11.7053 7.3646 6.3677
angles: 90.00 90.00 90.00
Closest atoms and distances in Å follow each position.
Element x y z (fractional)
Pm: 0.0000 0.1253 0.0000  6 Pm 3.62-3.69, 4 Sm 3.62-3.68, 2 Y 3.67-3.69
Pm: 0.0000 0.8752 0.4983  6 Pm 3.60-3.69, 4 Sm 3.62-3.68, 2 Y 3.68-3.69
Pm: 0.2490 0.8741 0.8310  6 Pm 3.60-3.68, 1 Y 3.61, 5 Sm 3.63-3.69
Pm: 0.2510 0.1259 0.3310  6 Pm 3.60-3.68, 1 Y 3.61, 5 Sm 3.63-3.69
Pm: 0.5000 0.1248 0.9983  6 Pm 3.60-3.69, 4 Sm 3.62-3.68, 2 Y 3.68-3.69
Pm: 0.5000 0.8747 0.5000  6 Pm 3.62-3.69, 4 Sm 3.62-3.68, 2 Y 3.67-3.69
Pm: 0.7490 0.1259 0.3310  6 Pm 3.60-3.68, 1 Y 3.61, 5 Sm 3.63-3.69
Pm: 0.7510 0.8741 0.8310  6 Pm 3.60-3.68, 1 Y 3.61, 5 Sm 3.63-3.69
Sm: 0.0000 0.3749 0.4994  4 Sm 3.61-3.62, 6 Pm 3.63-3.68, 2 Y 3.67-3.68
Sm: 0.2501 0.3757 0.8327  2 Y 3.61-3.62, 4 Sm 3.61-3.67, 6 Pm 3.62-3.69
Sm: 0.2499 0.6243 0.3327  2 Y 3.61-3.62, 4 Sm 3.61-3.67, 6 Pm 3.62-3.69
Sm: 0.5000 0.6251 0.9994  4 Sm 3.61-3.62, 6 Pm 3.63-3.68, 2 Y 3.67-3.68
Sm: 0.7499 0.3757 0.8327  2 Y 3.61-3.62, 4 Sm 3.61-3.67, 6 Pm 3.62-3.69
Sm: 0.7501 0.6243 0.3327  2 Y 3.61-3.62, 4 Sm 3.61-3.67, 6 Pm 3.62-3.69
Y: 0.0000 0.6239 0.9989  6 Pm 3.61-3.69, 6 Sm 3.61-3.68
Y: 0.5000 0.3761 0.4989  6 Pm 3.61-3.69, 6 Sm 3.61-3.68

=====

--- ii ---
Pm4Sm3Y | GGA-PBE | relaxed

Calculated values
The calculation puts the total magnetic moment at 0.0 μB per formula unit. As for the density of states at the Fermi level: 13.8 states/eV/cell.

abc: 11.9822 11.9822 6.8884
angles: 106.66 106.66 16.90
Closest atoms and distances in Å follow each position.
Element x y z (fractional)
Pm: 0.1242 0.1242 0.3661  3 Sm 3.33-3.56, 5 Pm 3.52-3.60, 2 Y 3.72
Pm: 0.2588 0.2588 0.7595  9 Pm 3.52-3.90, 3 Sm 3.54-3.59
Pm: 0.7412 0.7412 0.2405  9 Pm 3.52-3.90, 3 Sm 3.54-3.59
Pm: 0.8758 0.8758 0.6339  3 Sm 3.33-3.56, 5 Pm 3.52-3.60, 2 Y 3.72
Sm: 0.0000 0.0000 0.5000  2 Pm 3.33, 4 Sm 3.33-3.52
Sm: 0.1241 0.1241 0.8832  5 Pm 3.33-3.59, 3 Sm 3.33-3.52, 2 Y 3.71
Sm: 0.8759 0.8759 0.1168  5 Pm 3.33-3.59, 3 Sm 3.33-3.52, 2 Y 3.71
Y: 0.5000 0.5000 0.0000  2 Y 3.52, 8 Sm 3.71-3.87, 4 Pm 3.72

=====

Which structure is most stable? i, by 0.124 eV/atom over the runner-up.

=====

--- i ---
PmSm5Y | GGA-PBE | relaxed

Calculated values
The calculation puts the total magnetic moment at 0.0 μB per formula unit. As for the density of states at the Fermi level: 18.5 states/eV/cell.

abc: 6.9055 6.9055 12.3634
angles: 107.98 107.98 59.94
Closest atoms and distances in Å follow each position.
Element x y z (fractional)
Pm: 0.0000 0.5000 0.0000  4 Sm 3.31-3.65
Pm: 0.5000 0.0000 0.5000  4 Sm 3.31-3.65
Sm: 0.0782 0.9218 0.2500  2 Sm 3.01, 1 Y 3.08
Sm: 0.0833 0.3538 0.2479  2 Sm 3.01-3.31, 1 Pm 3.31
Sm: 0.1535 0.6888 0.4982  3 Sm 3.31-3.67, 1 Y 3.36
Sm: 0.3112 0.8465 0.0018  3 Sm 3.31-3.67, 1 Y 3.36
Sm: 0.3538 0.0833 0.7479  2 Sm 3.01-3.31, 1 Pm 3.31
Sm: 0.6462 0.9167 0.2521  2 Sm 3.01-3.31, 1 Pm 3.31
Sm: 0.6888 0.1535 0.9982  3 Sm 3.31-3.67, 1 Y 3.36
Sm: 0.8465 0.3112 0.5018  3 Sm 3.31-3.67, 1 Y 3.36
Sm: 0.9167 0.6462 0.7521  2 Sm 3.01-3.31, 1 Pm 3.31
Sm: 0.9218 0.0782 0.7500  2 Sm 3.01, 1 Y 3.08
Y: 0.4755 0.5245 0.7500  3 Sm 3.08-3.36
Y: 0.5245 0.4755 0.2500  3 Sm 3.08-3.36

=====

--- ii ---
PmSm5Y | GGA-PBE | relaxed

Calculated values
The calculation puts the total magnetic moment at 0.0 μB per formula unit. As for the density of states at the Fermi level: 16.7 states/eV/cell.

abc: 6.8896 6.8896 12.4225
angles: 108.35 108.35 59.76
Closest atoms and distances in Å follow each position.
Element x y z (fractional)
Pm: 0.0289 0.9711 0.7500  3 Sm 3.02-3.32
Pm: 0.9711 0.0289 0.2500  3 Sm 3.02-3.32
Sm: 0.1541 0.4095 0.7535  2 Sm 3.02-3.33, 1 Y 3.33
Sm: 0.1843 0.6579 0.4996  1 Pm 3.32, 3 Sm 3.33-3.69
Sm: 0.3421 0.8157 0.0004  1 Pm 3.32, 3 Sm 3.33-3.69
Sm: 0.4095 0.1541 0.2535  2 Sm 3.02-3.33, 1 Y 3.33
Sm: 0.4110 0.5890 0.2500  2 Sm 3.02, 1 Pm 3.02
Sm: 0.5890 0.4110 0.7500  2 Sm 3.02, 1 Pm 3.02
Sm: 0.5905 0.8459 0.7465  2 Sm 3.02-3.33, 1 Y 3.33
Sm: 0.6579 0.1843 0.9996  1 Pm 3.32, 3 Sm 3.33-3.69
Sm: 0.8157 0.3421 0.5004  1 Pm 3.32, 3 Sm 3.33-3.69
Sm: 0.8459 0.5905 0.2465  2 Sm 3.02-3.33, 1 Y 3.33
Y: 0.0000 0.5000 0.0000  4 Sm 3.33-3.61
Y: 0.5000 0.0000 0.5000  4 Sm 3.33-3.61

=====

Which structure is most stable? ii, by 0.009 eV/atom over the runner-up.